[1]
# UH16C12N2Cl6

A geometry-optimized UH16C12N2Cl6 structure (PBE, OQMD via LeMat-Bulk).

a b c (Å): 7.8152 12.2643 11.7703
angles (deg): 90.00 120.43 90.00
Last column: nearest neighbours and their distance in Å.
Sites, in units of the cell vectors:
H (0.5812, 0.8074, 0.1182)  1 C 1.10
H (0.7420, 0.5047, 0.5990)  1 C 1.09
H (0.6076, 0.1494, 0.7325)  1 C 1.09
H (0.7205, 0.9905, 0.6804)  1 N 1.04
H (0.3924, 0.6494, 0.7675)  1 C 1.09
H (0.6523, 0.2583, 0.9517)  1 C 1.10
H (0.8578, 0.6684, 0.5300)  1 C 1.09
H (0.2795, 0.0095, 0.3196)  1 N 1.04
H (0.2795, 0.4905, 0.8196)  1 N 1.04
H (0.5963, 0.3248, 0.5528)  1 C 1.10
H (0.1575, 0.3362, 0.6903)  1 C 1.09
H (0.1422, 0.1684, 0.9700)  1 C 1.09
H (0.6076, 0.3506, 0.2325)  1 C 1.09
H (0.8425, 0.6638, 0.3097)  1 C 1.09
H (0.8578, 0.8316, 0.0300)  1 C 1.09
H (0.4188, 0.1926, 0.8818)  1 C 1.10
H (0.5812, 0.6926, 0.6182)  1 C 1.10
H (0.3924, 0.8506, 0.2675)  1 C 1.09
H (0.3477, 0.7583, 0.5483)  1 C 1.10
H (0.6523, 0.2417, 0.4517)  1 C 1.10
H (0.2580, 0.0047, 0.9010)  1 C 1.09
H (0.4037, 0.8248, 0.9472)  1 C 1.10
H (0.3477, 0.7417, 0.0483)  1 C 1.10
H (0.4037, 0.6752, 0.4472)  1 C 1.10
H (0.5963, 0.1752, 0.0528)  1 C 1.10
H (0.1422, 0.3316, 0.4700)  1 C 1.09
H (0.7205, 0.5095, 0.1804)  1 N 1.04
H (0.2580, 0.4953, 0.4010)  1 C 1.09
H (0.1575, 0.1638, 0.1903)  1 C 1.09
H (0.7420, 0.9953, 0.0990)  1 C 1.09
H (0.8425, 0.8362, 0.8097)  1 C 1.09
H (0.4188, 0.3074, 0.3818)  1 C 1.10
Cl (0.2849, 0.3963, 0.9830)  1 H 2.23
Cl (0.2587, 0.8818, 0.6955)  1 U 2.60, 3 H 2.65-2.85
Cl (0.0111, 0.1423, 0.6702)  1 H 2.60, 1 U 2.62
Cl (0.7151, 0.8963, 0.5170)  1 H 2.23
Cl (0.9889, 0.8577, 0.3298)  1 H 2.60, 1 U 2.62
Cl (0.9889, 0.6423, 0.8298)  1 H 2.60, 1 U 2.62
Cl (0.2849, 0.1037, 0.4830)  1 H 2.23
Cl (0.7413, 0.1182, 0.3045)  1 U 2.60, 3 H 2.65-2.85
Cl (0.0111, 0.3577, 0.1702)  1 H 2.60, 1 U 2.62
Cl (0.7413, 0.3818, 0.8045)  1 U 2.60, 3 H 2.65-2.85
Cl (0.2587, 0.6182, 0.1955)  1 U 2.60, 3 H 2.65-2.85
Cl (0.7151, 0.6037, 0.0170)  1 H 2.23
U (0.0000, 0.0000, 0.5000)  6 Cl 2.60-2.66
U (0.0000, 0.5000, 0.0000)  6 Cl 2.60-2.66
C (0.6599, 0.0860, 0.9214)  3 C 1.39-1.49
C (0.7948, 0.9040, 0.8471)  1 H 1.09
C (0.2645, 0.0053, 0.9959)  1 H 1.09
C (0.3397, 0.9175, 0.1969)  1 H 1.09
C (0.8021, 0.5966, 0.4670)  1 H 1.09
C (0.7355, 0.5053, 0.5041)  1 H 1.09
C (0.7355, 0.9947, 0.0041)  1 H 1.09
C (0.1979, 0.0966, 0.0330)  1 H 1.09
C (0.4220, 0.6831, 0.5456)  3 H 1.10
C (0.8021, 0.9034, 0.9670)  1 H 1.09
C (0.3401, 0.9140, 0.0786)  3 C 1.39-1.49
C (0.3401, 0.5860, 0.5786)  3 C 1.39-1.49
C (0.3397, 0.5825, 0.6969)  1 H 1.09
C (0.6603, 0.4175, 0.3031)  1 H 1.09
C (0.7948, 0.5960, 0.3471)  1 H 1.09
C (0.5780, 0.1831, 0.9544)  3 H 1.10
C (0.2052, 0.0960, 0.1529)  1 H 1.09
C (0.2052, 0.4040, 0.6529)  1 H 1.09
C (0.2645, 0.4947, 0.4959)  1 H 1.09
C (0.4220, 0.8169, 0.0456)  3 H 1.10
C (0.1979, 0.4034, 0.5330)  1 H 1.09
C (0.5780, 0.3169, 0.4544)  3 H 1.10
C (0.6599, 0.4140, 0.4214)  3 C 1.39-1.49
C (0.6603, 0.0825, 0.8031)  1 H 1.09
N (0.7263, 0.9934, 0.7705)  1 H 1.04
N (0.7263, 0.5066, 0.2705)  1 H 1.04
N (0.2737, 0.4934, 0.7295)  1 H 1.04
N (0.2737, 0.0066, 0.2295)  1 H 1.04


[2]
# H32WC8N4Cl7

A geometry-optimized H32WC8N4Cl7 structure (PBE, OQMD via LeMat-Bulk).

a b c (Å): 10.0594 12.7676 8.5402
angles (deg): 90.00 90.00 90.00
Last column: nearest neighbours and their distance in Å.
Sites, in units of the cell vectors:
C (0.4132, 0.3621, 0.1735)  3 H 1.09
C (0.5868, 0.6379, 0.1735)  3 H 1.09
C (0.5684, 0.6367, 0.8836)  3 H 1.09
C (0.6674, 0.9367, 0.3959)  3 H 1.09-1.10
C (0.2455, 0.2099, 0.5550)  3 H 1.10
C (0.4316, 0.3633, 0.8836)  3 H 1.09
C (0.9132, 0.1379, 0.8265)  3 H 1.09
C (0.0684, 0.8633, 0.1164)  3 H 1.09
C (0.0868, 0.8621, 0.8265)  3 H 1.09
C (0.1674, 0.5633, 0.6041)  3 H 1.09-1.10
C (0.3326, 0.0633, 0.3959)  3 H 1.09-1.10
C (0.8326, 0.4367, 0.6041)  3 H 1.09-1.10
C (0.2545, 0.7099, 0.4450)  3 H 1.10
C (0.7545, 0.7901, 0.5550)  3 H 1.10
C (0.7455, 0.2901, 0.4450)  3 H 1.10
C (0.9316, 0.1367, 0.1164)  3 H 1.09
H (0.6749, 0.9292, 0.6387)  1 N 1.04
H (0.3470, 0.9784, 0.3975)  1 C 1.09
H (0.3251, 0.0708, 0.6387)  1 N 1.04
H (0.3410, 0.2507, 0.5436)  1 C 1.10
H (0.2673, 0.0844, 0.2981)  1 C 1.10
H (0.6396, 0.6756, 0.2701)  1 C 1.09
H (0.3931, 0.4462, 0.1757)  1 C 1.09
H (0.3253, 0.5570, 0.4510)  1 N 1.06
H (0.8253, 0.9430, 0.5490)  1 N 1.06
H (0.4285, 0.1029, 0.3840)  1 C 1.09
H (0.2615, 0.3345, 0.0103)  1 N 1.05
H (0.6747, 0.4430, 0.4510)  1 N 1.06
H (0.2995, 0.7280, 0.3314)  1 C 1.10
H (0.0715, 0.6029, 0.6160)  1 C 1.09
H (0.4087, 0.4468, 0.8766)  1 C 1.09
H (0.1048, 0.8236, 0.2211)  1 C 1.09
H (0.7673, 0.4156, 0.7019)  1 C 1.10
H (0.6530, 0.0216, 0.3975)  1 C 1.09
H (0.5913, 0.5532, 0.8766)  1 C 1.09
H (0.1590, 0.7507, 0.4564)  1 C 1.10
H (0.9285, 0.3971, 0.6160)  1 C 1.09
H (0.6069, 0.5538, 0.1757)  1 C 1.09
H (0.3217, 0.7335, 0.5397)  1 C 1.10
H (0.0200, 0.1534, 0.8193)  1 C 1.09
H (0.3726, 0.2379, 0.0214)  1 N 1.04
H (0.1783, 0.2335, 0.4603)  1 C 1.10
H (0.7995, 0.7720, 0.6686)  1 C 1.10
H (0.8931, 0.0538, 0.8243)  1 C 1.09
H (0.1749, 0.5708, 0.3613)  1 N 1.04
H (0.8604, 0.1756, 0.7299)  1 C 1.09
H (0.6590, 0.7493, 0.5436)  1 C 1.10
H (0.8217, 0.7665, 0.4603)  1 C 1.10
H (0.8952, 0.1764, 0.2211)  1 C 1.09
H (0.1530, 0.4784, 0.6025)  1 C 1.09
H (0.3604, 0.3244, 0.2701)  1 C 1.09
H (0.2327, 0.5844, 0.7019)  1 C 1.10
H (0.5715, 0.8971, 0.3840)  1 C 1.09
H (0.7005, 0.2720, 0.3314)  1 C 1.10
H (0.9800, 0.8466, 0.8193)  1 C 1.09
H (0.0387, 0.1499, 0.1041)  1 C 1.09
H (0.7385, 0.6655, 0.0103)  1 N 1.05
H (0.8410, 0.2493, 0.4564)  1 C 1.10
H (0.8251, 0.4292, 0.3613)  1 N 1.04
H (0.6783, 0.2665, 0.5397)  1 C 1.10
H (0.7615, 0.1655, 0.9897)  1 N 1.05
H (0.1396, 0.8244, 0.7299)  1 C 1.09
H (0.1747, 0.0570, 0.5490)  1 N 1.06
H (0.5200, 0.3466, 0.1807)  1 C 1.09
H (0.0913, 0.9468, 0.1234)  1 C 1.09
H (0.9613, 0.8501, 0.1041)  1 C 1.09
H (0.3952, 0.3236, 0.7789)  1 C 1.09
H (0.4613, 0.6499, 0.8959)  1 C 1.09
H (0.5387, 0.3501, 0.8959)  1 C 1.09
H (0.1274, 0.7379, 0.9786)  1 N 1.04
H (0.6048, 0.6764, 0.7789)  1 C 1.09
H (0.4800, 0.6534, 0.1807)  1 C 1.09
H (0.9087, 0.0532, 0.1234)  1 C 1.09
H (0.6274, 0.7621, 0.0214)  1 N 1.04
H (0.1069, 0.9462, 0.8243)  1 C 1.09
H (0.7327, 0.9156, 0.2981)  1 C 1.10
H (0.8726, 0.2621, 0.9786)  1 N 1.04
H (0.2385, 0.8345, 0.9897)  1 N 1.05
H (0.8470, 0.5216, 0.6025)  1 C 1.09
H (0.2005, 0.2280, 0.6686)  1 C 1.10
N (0.8632, 0.1807, 0.9769)  2 H 1.04-1.05
N (0.7316, 0.9044, 0.5443)  2 H 1.04-1.06
N (0.2684, 0.0956, 0.5443)  2 H 1.04-1.06
N (0.3632, 0.3193, 0.0231)  2 H 1.04-1.05
N (0.6368, 0.6807, 0.0231)  2 H 1.04-1.05
N (0.1368, 0.8193, 0.9769)  2 H 1.04-1.05
N (0.7684, 0.4044, 0.4557)  2 H 1.04-1.06
N (0.2316, 0.5956, 0.4557)  2 H 1.04-1.06
W (0.0000, 0.5000, 0.0787)  6 Cl 2.45-2.46
W (0.5000, 0.0000, 0.9213)  6 Cl 2.45-2.46
Cl (0.2196, 0.5853, 0.0681)  2 H 2.29-2.55, 1 W 2.46
Cl (0.0734, 0.3796, 0.2850)  1 W 2.45, 3 H 2.61-2.72
Cl (0.0775, 0.3719, 0.8840)  1 H 2.19
Cl (0.0000, 0.0000, 0.4818)  2 H 1.99
Cl (0.9225, 0.6281, 0.8840)  1 H 2.19
Cl (0.7804, 0.4147, 0.0681)  2 H 2.29-2.55, 1 W 2.46
Cl (0.5734, 0.1204, 0.7150)  1 W 2.45, 3 H 2.61-2.72
Cl (0.5000, 0.5000, 0.5182)  2 H 1.99
Cl (0.4266, 0.8796, 0.7150)  1 W 2.45, 3 H 2.61-2.72
Cl (0.4225, 0.8719, 0.1160)  1 H 2.19
Cl (0.5775, 0.1281, 0.1160)  1 H 2.19
Cl (0.7196, 0.9147, 0.9319)  2 H 2.29-2.55, 1 W 2.46
Cl (0.2804, 0.0853, 0.9319)  2 H 2.29-2.55, 1 W 2.46
Cl (0.9266, 0.6204, 0.2850)  1 W 2.45, 3 H 2.61-2.72


[3]
# ZnH8C4N8Cl2

A geometry-optimized ZnH8C4N8Cl2 structure (PBE, OQMD via LeMat-Bulk).

a b c (Å): 5.0438 8.6447 12.1631
angles (deg): 88.02 86.08 85.26
Last column: nearest neighbours and their distance in Å.
Sites, in units of the cell vectors:
C (0.5890, 0.7082, 0.1310)  3 N 1.33-1.35
C (0.4849, 0.6659, 0.5929)  2 N 1.18-1.29
C (0.1925, 0.2742, 0.5414)  3 N 1.33-1.35
C (0.4110, 0.2918, 0.8690)  3 N 1.33-1.35
C (0.5151, 0.3342, 0.4071)  2 N 1.18-1.29
C (0.2952, 0.5332, 0.1975)  2 N 1.18-1.28
C (0.7048, 0.4668, 0.8025)  2 N 1.18-1.28
C (0.8075, 0.7258, 0.4586)  3 N 1.33-1.35
N (0.6465, 0.8557, 0.1303)  2 H 1.02
N (0.3036, 0.3746, 0.4678)  2 C 1.29-1.35
N (0.3093, 0.1330, 0.5645)  2 H 1.01-1.02
N (0.6907, 0.8670, 0.4355)  2 H 1.01-1.02
N (0.9576, 0.3195, 0.5911)  2 H 1.02-1.03
N (0.7318, 0.6066, 0.0658)  2 H 1.02
N (0.0424, 0.6805, 0.4089)  2 H 1.02-1.03
N (0.1982, 0.4135, 0.2025)  1 C 1.18
N (0.6166, 0.3324, 0.7998)  2 C 1.28-1.35
N (0.3834, 0.6676, 0.2002)  2 C 1.28-1.35
N (0.2917, 0.6889, 0.6520)  1 C 1.18
N (0.7083, 0.3111, 0.3480)  1 C 1.18
N (0.3535, 0.1443, 0.8697)  2 H 1.02
N (0.6964, 0.6254, 0.5322)  2 C 1.29-1.35
N (0.8018, 0.5865, 0.7975)  1 C 1.18
N (0.2682, 0.3934, 0.9342)  2 H 1.02
H (0.7045, 0.4908, 0.0723)  1 N 1.02
H (0.2051, 0.1043, 0.9213)  1 N 1.02
H (0.2149, 0.0606, 0.6195)  1 N 1.02
H (0.5050, 0.1071, 0.5422)  1 N 1.01
H (0.7949, 0.8957, 0.0787)  1 N 1.02
H (0.1205, 0.3547, 0.9877)  1 N 1.02
H (0.2955, 0.5092, 0.9277)  1 N 1.02
H (0.4950, 0.8929, 0.4578)  1 N 1.01
H (0.1323, 0.5727, 0.4291)  1 N 1.03
H (0.1278, 0.7464, 0.3470)  1 N 1.02
H (0.8795, 0.6453, 0.0123)  1 N 1.02
H (0.4846, 0.0670, 0.8278)  1 N 1.02
H (0.8722, 0.2536, 0.6530)  1 N 1.02
H (0.5154, 0.9330, 0.1722)  1 N 1.02
H (0.8677, 0.4273, 0.5709)  1 N 1.03
H (0.7851, 0.9394, 0.3805)  1 N 1.02
Cl (0.1884, 0.7959, 0.9326)  2 H 2.26-2.49, 1 Zn 2.27
Cl (0.1938, 0.0244, 0.2995)  1 Zn 2.25, 3 H 2.28-2.50
Cl (0.8116, 0.2041, 0.0674)  2 H 2.26-2.49, 1 Zn 2.27
Cl (0.8062, 0.9756, 0.7005)  1 Zn 2.25, 3 H 2.28-2.50
Zn (0.9759, 0.2409, 0.2326)  2 N 1.95-1.96
Zn (0.0241, 0.7591, 0.7674)  2 N 1.95-1.96


[4]
# ZnH8C4N8Cl2

A geometry-optimized ZnH8C4N8Cl2 structure (PBE, OQMD via LeMat-Bulk).

a b c (Å): 4.7826 14.3584 15.0755
angles (deg): 90.00 90.76 90.00
Last column: nearest neighbours and their distance in Å.
Sites, in units of the cell vectors:
C (0.4880, 0.8631, 0.4993)  2 N 1.18-1.29
C (0.8473, 0.4065, 0.1029)  3 N 1.33-1.35
C (0.7079, 0.1409, 0.2921)  2 N 1.18-1.28
C (0.6016, 0.5952, 0.3172)  3 N 1.33-1.35
C (0.8473, 0.0935, 0.6029)  3 N 1.33-1.35
C (0.6016, 0.9048, 0.8172)  3 N 1.33-1.35
C (0.4880, 0.6370, 0.9993)  2 N 1.18-1.29
C (0.5120, 0.3631, 0.0007)  2 N 1.18-1.29
C (0.2921, 0.6409, 0.2079)  2 N 1.18-1.28
C (0.3984, 0.4048, 0.6828)  3 N 1.33-1.35
C (0.5120, 0.1369, 0.5007)  2 N 1.18-1.29
C (0.7079, 0.3591, 0.7921)  2 N 1.18-1.28
C (0.1527, 0.5935, 0.8971)  3 N 1.33-1.35
C (0.3984, 0.0952, 0.1828)  3 N 1.33-1.35
C (0.2921, 0.8591, 0.7079)  2 N 1.18-1.28
C (0.1527, 0.9065, 0.3971)  3 N 1.33-1.35
H (0.1699, 0.0367, 0.0817)  1 N 1.02
H (0.4198, 0.5363, 0.6348)  1 N 1.02
H (0.2921, 0.2731, 0.7226)  1 N 1.03
H (0.5802, 0.0363, 0.8652)  1 N 1.02
H (0.1699, 0.4633, 0.5817)  1 N 1.02
H (0.1107, 0.5138, 0.0759)  1 N 1.03
H (0.5802, 0.4637, 0.3652)  1 N 1.02
H (0.2921, 0.2269, 0.2226)  1 N 1.03
H (0.8442, 0.9632, 0.3178)  1 N 1.02
H (0.8301, 0.9633, 0.9183)  1 N 1.02
H (0.8683, 0.1622, 0.7220)  1 N 1.02
H (0.4198, 0.9637, 0.1348)  1 N 1.02
H (0.8683, 0.3378, 0.2220)  1 N 1.02
H (0.8442, 0.5368, 0.8178)  1 N 1.02
H (0.8617, 0.6887, 0.3767)  1 N 1.03
H (0.3729, 0.7922, 0.3556)  1 N 1.02
H (0.1317, 0.6622, 0.7780)  1 N 1.02
H (0.8893, 0.0138, 0.4241)  1 N 1.03
H (0.1383, 0.1887, 0.1233)  1 N 1.03
H (0.8893, 0.4862, 0.9241)  1 N 1.03
H (0.3729, 0.7078, 0.8556)  1 N 1.02
H (0.8301, 0.5367, 0.4183)  1 N 1.02
H (0.7079, 0.7731, 0.7774)  1 N 1.03
H (0.1107, 0.9862, 0.5759)  1 N 1.03
H (0.7079, 0.7269, 0.2774)  1 N 1.03
H (0.1383, 0.3113, 0.6233)  1 N 1.03
H (0.1317, 0.8378, 0.2780)  1 N 1.02
H (0.1558, 0.0368, 0.6822)  1 N 1.02
H (0.6271, 0.2078, 0.6444)  1 N 1.02
H (0.1558, 0.4632, 0.1822)  1 N 1.02
H (0.6271, 0.2922, 0.1444)  1 N 1.02
H (0.8617, 0.8113, 0.8767)  1 N 1.03
N (0.6847, 0.5258, 0.3692)  2 H 1.02
N (0.0466, 0.4676, 0.1237)  2 H 1.02-1.03
N (0.2966, 0.1820, 0.1696)  2 H 1.03
N (0.7034, 0.6820, 0.3304)  2 H 1.03
N (0.9534, 0.9676, 0.3763)  2 H 1.02-1.03
N (0.6827, 0.8197, 0.5246)  1 C 1.18
N (0.6847, 0.9742, 0.8692)  2 H 1.02
N (0.4110, 0.9239, 0.7530)  2 C 1.28-1.35
N (0.2214, 0.6604, 0.8398)  2 H 1.02
N (0.3153, 0.0258, 0.1308)  2 H 1.02
N (0.7200, 0.0847, 0.5225)  2 C 1.29-1.35
N (0.2214, 0.8396, 0.3398)  2 H 1.02
N (0.8335, 0.3066, 0.8377)  1 C 1.18
N (0.5890, 0.4239, 0.7470)  2 C 1.28-1.35
N (0.3153, 0.4742, 0.6308)  2 H 1.02
N (0.2800, 0.5847, 0.9775)  2 C 1.29-1.35
N (0.9534, 0.5324, 0.8763)  2 H 1.02-1.03
N (0.6827, 0.6803, 0.0246)  1 C 1.18
N (0.5890, 0.0761, 0.2470)  2 C 1.28-1.35
N (0.4110, 0.5761, 0.2530)  2 C 1.28-1.35
N (0.7034, 0.8180, 0.8304)  2 H 1.03
N (0.0466, 0.0324, 0.6237)  2 H 1.02-1.03
N (0.3173, 0.1803, 0.4754)  1 C 1.18
N (0.3173, 0.3197, 0.9754)  1 C 1.18
N (0.8335, 0.1934, 0.3377)  1 C 1.18
N (0.7200, 0.4153, 0.0225)  2 C 1.29-1.35
N (0.2966, 0.3180, 0.6696)  2 H 1.03
N (0.1665, 0.8066, 0.6623)  1 C 1.18
N (0.7786, 0.1604, 0.6602)  2 H 1.02
N (0.7786, 0.3396, 0.1602)  2 H 1.02
N (0.1665, 0.6934, 0.1623)  1 C 1.18
N (0.2800, 0.9153, 0.4775)  2 C 1.29-1.35
Cl (0.7165, 0.8575, 0.1887)  3 H 2.23-2.40, 1 Zn 2.27
Cl (0.8431, 0.1402, 0.0132)  1 Zn 2.24, 2 H 2.27-2.38
Cl (0.7165, 0.6425, 0.6887)  3 H 2.23-2.40, 1 Zn 2.27
Cl (0.1569, 0.8598, 0.9868)  1 Zn 2.24, 2 H 2.27-2.38
Cl (0.8431, 0.3598, 0.5132)  1 Zn 2.24, 2 H 2.27-2.38
Cl (0.2835, 0.3575, 0.3113)  3 H 2.23-2.40, 1 Zn 2.27
Cl (0.1569, 0.6402, 0.4868)  1 Zn 2.24, 2 H 2.27-2.38
Cl (0.2835, 0.1425, 0.8113)  3 H 2.23-2.40, 1 Zn 2.27
Zn (0.9301, 0.7301, 0.5837)  2 N 1.95-1.96
Zn (0.0699, 0.2699, 0.4163)  2 N 1.95-1.96
Zn (0.9301, 0.7699, 0.0837)  2 N 1.95-1.96
Zn (0.0699, 0.2301, 0.9163)  2 N 1.95-1.96


Record order is preserved below.
VASP energy: -437.1, -519.5, -282.9, -566.0 eV/cell